This record from the Alexandria database describes a relaxed PWI2O crystal. The functional is GGA+U.

## Properties
N(E_F), states/eV/cell: 1.0
Final energy, eV per atom: -3.69
Offset from the most stable computed form, meV/atom: 159

The structure in POSCAR format:
```
PWI2O
1.0
5.791 0.000 0.000
0.000 5.791 0.000
0.000 0.000 3.569
I O P W
2 1 1 1
Direct
0.500 0.000 0.000
0.000 0.500 0.000
0.000 0.000 0.500
0.000 0.000 0.000
0.500 0.500 0.500
```